(1)
Computed, not measured: Pm3Pr2YTe6 after structural relaxation at the PBE-GGA level of DFT.

a b c (Å): 4.4484 8.9946 9.9831
angles (deg): 102.45 102.87 90.00
Positions (direct):
Te  0.6642  0.5854  0.3284
Te  0.0024  0.7573  0.0047
Te  0.3358  0.4146  0.6716
Pr  0.1691  0.3355  0.3381
Te  0.9976  0.2427  0.9953
Y  0.5000  0.0000  0.0000
Te  0.6620  0.0770  0.3241
Te  0.3380  0.9230  0.6759
Pm  0.1718  0.8337  0.3436
Pm  0.8282  0.1663  0.6564
Pm  0.5000  0.5000  0.0000
Pr  0.8309  0.6645  0.6619

Results
space group	C2/m, No. 12
formation energy without anion corrections	-1.402	eV per atom

(2)
Computed, not measured: Pm2PrY3Te6 after structural relaxation at the PBE-GGA level of DFT.

a b c (Å): 4.3910 8.9322 9.9228
angles (deg): 103.73 102.78 90.00
Positions (direct):
Pr  0.5000  0.0000  0.0000
Pm  0.1658  0.3309  0.3316
Y  0.5000  0.5000  0.0000
Te  0.3294  0.9216  0.6589
Te  0.6706  0.0784  0.3411
Te  0.9984  0.2586  0.9968
Y  0.8350  0.1678  0.6700
Y  0.1650  0.8322  0.3300
Te  0.6652  0.5873  0.3303
Te  0.3348  0.4127  0.6697
Te  0.0016  0.7414  0.0032
Pm  0.8342  0.6691  0.6684

Results
space group	C2/m, No. 12
formation energy without anion corrections	-1.368	eV per atom

(3)
Computed, not measured: Pm3PrY2Te6 after structural relaxation at the PBE-GGA level of DFT.

a b c (Å): 4.4195 8.9418 9.9277
angles (deg): 102.70 102.86 90.00
Positions (direct):
Pr  0.5000  0.0000  0.0000
Te  0.6705  0.0910  0.3409
Pm  0.1613  0.8329  0.3227
Te  0.6696  0.5789  0.3392
Pm  0.8387  0.1671  0.6773
Te  0.3295  0.9090  0.6591
Pm  0.5000  0.5000  0.0000
Y  0.8352  0.6699  0.6705
Te  0.9962  0.7444  0.9924
Te  0.0038  0.2556  0.0076
Y  0.1648  0.3301  0.3295
Te  0.3304  0.4211  0.6608

Results
space group	C2/m, No. 12
formation energy without anion corrections	-1.381	eV per atom

(4)
Computed, not measured: PmPr3Y3Te8 after structural relaxation at the PBE-GGA level of DFT.

a b c (Å): 8.8459 8.8462 8.8838
angles (deg): 119.86 90.00 120.00
Positions (direct):
Te  0.7457  0.4913  0.7370
Te  0.7349  0.9913  0.7476
Y  0.5000  0.5000  0.5000
Pr  0.5000  0.5000  0.0000
Te  0.2543  0.5087  0.2630
Pm  0.0000  0.0000  0.5000
Te  0.2564  0.5127  0.7476
Pr  0.0000  0.5000  0.0000
Te  0.2651  0.0087  0.2524
Te  0.2563  0.9912  0.7476
Y  0.5000  0.0000  0.5000
Te  0.7437  0.0088  0.2524
Te  0.7436  0.4873  0.2524
Y  0.0000  0.5000  0.5000
Pr  0.0000  0.0000  0.0000

Results
space group	R-3m, No. 166
formation energy without anion corrections	-1.435	eV per atom

(5)
Computed, not measured: Pm3Pr4YTe8 after structural relaxation at the PBE-GGA level of DFT.

a b c (Å): 8.9574 8.9995 8.9541
angles (deg): 119.82 120.01 90.00
Positions (direct):
Te  0.7549  0.2584  0.5098
Pm  0.0000  0.5000  0.5000
Te  0.2518  0.2553  0.5036
Te  0.2486  0.2584  0.0035
Te  0.7549  0.2584  0.0035
Te  0.2451  0.7416  0.4902
Pm  0.5000  0.5000  0.0000
Pr  0.0000  0.0000  0.5000
Pr  0.5000  0.0000  0.0000
Te  0.7482  0.7447  0.4964
Te  0.2451  0.7416  0.9965
Y  0.0000  0.5000  0.0000
Pm  0.5000  0.5000  0.5000
Pr  0.5000  0.0000  0.5000
Te  0.7514  0.7416  0.9965
Pr  0.0000  0.0000  0.0000

Results
space group	R-3m, No. 166
formation energy without anion corrections	-1.408	eV per atom

(6)
Computed, not measured: Pm3PrY3Te8 after structural relaxation at the PBE-GGA level of DFT.

a b c (Å): 8.8077 8.8078 8.8108
angles (deg): 119.99 90.00 120.00
Positions (direct):
Pr  0.0000  0.0000  0.5000
Y  0.5000  0.5000  0.5000
Te  0.2527  0.5055  0.2582
Te  0.7344  0.9945  0.7547
Y  0.5000  0.0000  0.5000
Y  0.0000  0.5000  0.5000
Te  0.2602  0.5203  0.7547
Te  0.7399  0.0055  0.2453
Te  0.7398  0.4797  0.2453
Te  0.2656  0.0055  0.2453
Te  0.7473  0.4945  0.7418
Te  0.2601  0.9945  0.7547
Pm  0.5000  0.5000  0.0000
Pm  0.0000  0.0000  0.0000
Pm  0.0000  0.5000  0.0000

Results
space group	R-3m, No. 166
formation energy without anion corrections	-1.426	eV per atom

(7)
Computed, not measured: Pm3Pr3YTe8 after structural relaxation at the PBE-GGA level of DFT.

a b c (Å): 8.9442 8.9442 8.9690
angles (deg): 119.91 90.00 120.00
Positions (direct):
Y  0.0000  0.0000  0.5000
Pm  0.5000  0.0000  0.5000
Te  0.2528  0.0032  0.2536
Pm  0.5000  0.5000  0.5000
Te  0.2516  0.5032  0.2548
Pr  0.0000  0.5000  0.0000
Pr  0.5000  0.5000  0.0000
Te  0.7504  0.5007  0.2536
Te  0.7484  0.4968  0.7452
Te  0.2496  0.4993  0.7464
Pr  0.0000  0.0000  0.0000
Pm  0.0000  0.5000  0.5000
Te  0.7504  0.0032  0.2536
Te  0.7472  0.9968  0.7464
Te  0.2496  0.9968  0.7464

Results
space group	R-3m, No. 166
formation energy without anion corrections	-1.454	eV per atom

(8)
Computed, not measured: Pm2PrTh after structural relaxation at the PBE-GGA level of DFT.

a b c (Å): 5.7886 5.7886 5.7886
angles (deg): 60.00 60.00 60.00
Positions (direct):
Pm  0.2500  0.2500  0.2500
Pm  0.7500  0.7500  0.7500
Th  0.0000  0.0000  0.0000
Pr  0.5000  0.5000  0.5000

Results
space group	Fm-3m, No. 225
E above lowest polymorph	0.645	eV/f.u.
formation enthalpy at 0 K	0.18	eV/atom

(9)
Computed, not measured: Pm3Pr6Th2 after structural relaxation at the PBE-GGA level of DFT.

a b c (Å): 3.6641 3.6641 33.1714
angles (deg): 86.83 86.83 60.00
Positions (direct):
Pm  0.2728  0.2728  0.1816
Pr  0.3638  0.3638  0.9087
Th  0.5454  0.5454  0.3637
Pr  0.1831  0.1831  0.4507
Pm  0.0000  0.0000  0.0000
Pr  0.6362  0.6362  0.0913
Pr  0.0919  0.0919  0.7242
Pr  0.9081  0.9081  0.2758
Th  0.4546  0.4546  0.6363
Pm  0.7272  0.7272  0.8184
Pr  0.8169  0.8169  0.5493

Results
space group	R-3m, No. 166
formation enthalpy at 0 K	0.03	eV/atom

(10)
Computed, not measured: PmPrTh2 after structural relaxation at the PBE-GGA level of DFT.

a b c (Å): 3.6140 3.6140 12.0583
angles (deg): 81.38 81.38 60.00
Positions (direct):
Pm  0.4986  0.4986  0.5043
Pr  0.6684  0.6684  0.9948
Th  0.0839  0.0839  0.7483
Th  0.2491  0.2491  0.2526

Results
space group	R3m, No. 160
E above lowest polymorph	0.140	eV/f.u.
formation enthalpy at 0 K	0.07	eV/atom